Material: YSc3I
Method: DFT, meta-GGA SCAN
State: PBEsol geometry

Cell: 5.263 5.263 5.263 Å, 90.00 90.00 90.00°
Element x y z (fractional)
I  0.000  0.000  0.000
Y  0.500  0.500  0.500
Sc  0.000  0.500  0.000
Sc  0.000  0.000  0.500
Sc  0.500  0.000  0.000

Results
E_tot ... -21.27 eV per atom
Formation energy (no corrections) ... 0.19 eV per atom
N(E_F) ... 5.675 states/eV per cell
Space-group type ... No. 221